Record 1
Material: Cs3NdU3S8
Method: DFT, PBE
State: optimized geometry

a b c (Å): 8.188 8.188 9.467
angles (deg): 115.64 90.00 120.00
Fractional coordinates of all 15 atoms:
S 0.727 0.453 0.680
S 0.283 0.051 0.319
Cs 0.000 0.500 0.000
S 0.232 0.949 0.681
U 0.500 0.000 0.500
Cs 0.500 0.500 0.000
S 0.717 0.949 0.681
U 0.000 0.500 0.500
Cs 0.000 0.000 0.000
S 0.768 0.051 0.319
S 0.232 0.464 0.681
U 0.500 0.500 0.500
S 0.273 0.547 0.320
Nd 0.000 0.000 0.500
S 0.768 0.536 0.319

Its space group is R-3m (166). Its uncorrected formation energy is -1.502 eV per atom. The calculation puts the uncorrected energy at -6.449 eV/atom.

---

Record 2
Material: PIN2
Method: DFT, PBE
State: optimized geometry

a b c (Å): 9.409 9.409 9.409
angles (deg): 17.82 17.82 17.82
Fractional coordinates of all 4 atoms:
N 0.864 0.864 0.864
P 0.500 0.500 0.500
N 0.136 0.136 0.136
I 0.000 0.000 0.000

Its space group is R-3m (166). Its uncorrected formation energy is 0.799 eV per atom. For the distance to the lowest polymorph of the same formula, the calculation gives 0.2476 eV per atom. The calculation puts the uncorrected energy at -5.104 eV/atom.

---

Record 3
Material: Ce2GaCu
Method: DFT, PBE
State: optimized geometry

a b c (Å): 4.379 4.395 4.395
angles (deg): 90.00 90.00 90.00
Fractional coordinates of all 4 atoms:
Ce 0.000 0.500 0.000
Ce 0.000 0.000 0.500
Ga 0.500 0.500 0.500
Cu 0.500 0.000 0.000

As for the formation energy: -258 meV per atom. Its space group is P4/mmm (123). The calculation puts the uncorrected energy at -5.006 eV/atom.

---

Record 4
Material: ScCdOsO6
Method: DFT, PBE
State: optimized geometry

a b c (Å): 5.313 5.313 9.544
angles (deg): 90.00 90.00 120.00
Fractional coordinates of all 18 atoms:
O 0.972 0.351 0.638
O 0.379 0.351 0.862
Sc 0.667 0.333 0.250
Sc 0.333 0.667 0.750
Os 0.333 0.667 0.250
O 0.649 0.621 0.638
O 0.972 0.621 0.862
O 0.379 0.028 0.638
Cd 0.000 0.000 0.500
Os 0.667 0.333 0.750
O 0.028 0.649 0.362
O 0.621 0.649 0.138
O 0.649 0.028 0.862
O 0.351 0.972 0.138
O 0.028 0.379 0.138
Cd 0.000 0.000 0.000
O 0.621 0.972 0.362
O 0.351 0.379 0.362

Its space group is P-31c (163). Its uncorrected formation energy is -1.641 eV per atom. The calculation puts the uncorrected energy at -6.999 eV/atom.

---

| no. | magnetization (μB/atom) |
| --- | --- |
| 1 | 0.533 |
| 2 | 0.208 |
| 3 | 0.000 |
| 4 | 0.080 |